The following is a PBE calculation of an optimized crystal structure of MnCu2Pd2, from the Alexandria database.

Calculated values
For the density of states at the Fermi level, the calculation gives 12.82 states/eV per cell. Its energy of formation from the pure elements is 0.382 eV per atom. The calculated total energy comes out at -0.1899 Ha/atom. For the volume, the calculation gives 139 Å³/cell.

abc: 7.0819 7.0819 2.7797
angles: 90.00 90.00 90.00
With the nearest neighbours (Å) after each atom.
Space group P4/mbm (No. 127)
Symmetry-distinct sites (fractional):
Mn 0.0000 0.0000 0.0000 [2 per cell]  2 Mn 2.78, 4 Cu 2.82, 8 Pd 2.95
Cu 0.1208 0.3792 0.0000 [4 per cell]  1 Cu 2.42, 6 Pd 2.45-2.56
Pd 0.1780 0.6780 0.5000 [4 per cell]  6 Cu 2.45-2.56

The following is a PBE calculation of an optimized crystal structure of BaRhAu2, from the Alexandria database.

Calculated values
For the density of states at the Fermi level, the calculation gives 3.03 states/eV per cell. Its energy of formation from the pure elements is -0.121 eV per atom. The calculated total energy comes out at -0.1499 Ha/atom. For the volume, the calculation gives 103 Å³/cell.

abc: 4.8777 4.5629 4.9062
angles: 90.00 109.75 90.00
With the nearest neighbours (Å) after each atom.
Space group P2/m (No. 10)
Symmetry-distinct sites (fractional):
Ba 0.0000 0.0000 0.0000 [1 per cell]  2 Rh 2.81
Rh 0.5000 0.0000 0.5000 [1 per cell]  4 Au 2.70, 2 Ba 2.81
Au 0.3212 0.5000 0.6821 [2 per cell]  2 Rh 2.70, 2 Au 2.89-3.02

The following is a PBE calculation of an optimized crystal structure of Hf6TiCo2, from the Alexandria database.

Calculated values
For the density of states at the Fermi level, the calculation gives 20.62 states/eV per cell. Its energy of formation from the pure elements is -0.168 eV per atom. The calculated total energy comes out at -0.3403 Ha/atom. For the volume, the calculation gives 346 Å³/cell.

abc: 15.5275 3.2117 7.9034
angles: 90.00 118.65 90.00
With the nearest neighbours (Å) after each atom.
Space group C2/m (No. 12)
Symmetry-distinct sites (fractional):
Hf 0.0586 0.0000 0.3784 [4 per cell]  10 Hf 3.11-3.41, 2 Ti 3.12, 2 Co 3.14-3.38
Hf 0.1503 0.5000 0.8106 [4 per cell]  2 Co 2.52
Hf 0.2130 0.5000 0.3160 [4 per cell]  2 Co 2.55
Ti 0.0000 0.5000 0.0000 [2 per cell]  4 Co 2.46
Co 0.1274 0.0000 0.0322 [4 per cell]  2 Ti 2.46, 4 Hf 2.52-2.55

The following is a PBE calculation of an optimized crystal structure of SrPmSm, from the Alexandria database.

Calculated values
For the density of states at the Fermi level, the calculation gives 7.61 states/eV per cell. Its energy of formation from the pure elements is 0.094 eV per atom. The calculated total energy comes out at -0.1331 Ha/atom. For the volume, the calculation gives 235 Å³/cell.

abc: 3.7851 3.7851 16.3968
angles: 90.00 90.00 90.00
With the nearest neighbours (Å) after each atom.
Space group I4mm (No. 107)
Symmetry-distinct sites (fractional):
Sr 0.0000 0.0000 0.0000 [2 per cell]  4 Sr 3.79, 4 Sm 3.97, 4 Pm 3.98
Pm 0.0000 0.0000 0.3203 [2 per cell]  4 Sm 3.54, 4 Pm 3.79
Sm 0.0000 0.0000 0.6790 [2 per cell]  4 Pm 3.54, 4 Sm 3.79

The following is a PBE calculation of an optimized crystal structure of ScMnSe2, from the Alexandria database.

Calculated values
For the density of states at the Fermi level, the calculation gives 2.47 states/eV per cell. The calculated total energy comes out at -0.2408 Ha/atom. For the volume, the calculation gives 159 Å³/cell. The uncorrected formation energy comes out at -936 meV per atom.

abc: 3.5388 3.6194 12.4484
angles: 90.00 90.00 90.00
With the nearest neighbours (Å) after each atom.
Space group Imm2 (No. 44)
Symmetry-distinct sites (fractional):
Sc 0.0000 0.0000 0.0000 [2 per cell]  6 Se 2.70-2.79
Mn 0.0000 0.5000 0.2704 [2 per cell]  6 Se 2.67-2.81
Se 0.0000 0.0000 0.5948 [2 per cell]  4 Sc 2.79, 2 Mn 2.81
Se 0.0000 0.5000 0.8393 [2 per cell]  4 Mn 2.67, 2 Sc 2.70

The following is a PBE calculation of an optimized crystal structure of CrCuS2N, from the Alexandria database.

Calculated values
For the density of states at the Fermi level, the calculation gives 3.77 states/eV per cell. The calculated total energy comes out at -0.2090 Ha/atom. For the volume, the calculation gives 75 Å³/cell. The uncorrected formation energy comes out at 373 meV per atom.

abc: 4.6469 4.6469 3.4918
angles: 90.00 90.00 90.00
With the nearest neighbours (Å) after each atom.
Space group P4/mmm (No. 123)
Symmetry-distinct sites (fractional):
Cr 0.0000 0.0000 0.0000 [1 per cell]  2 N 1.75
Cu 0.5000 0.5000 0.5000 [1 per cell]  8 S 2.91
S 0.0000 0.5000 0.0000 [2 per cell]  2 Cr 2.32
N 0.0000 0.0000 0.5000 [1 per cell]  2 Cr 1.75

The following is a PBE calculation of an optimized crystal structure of PrHoMg2, from the Alexandria database.

Calculated values
For the density of states at the Fermi level, the calculation gives 14.99 states/eV per cell. Its energy of formation from the pure elements is -0.100 eV per atom. The calculated total energy comes out at -0.1189 Ha/atom. For the volume, the calculation gives 453 Å³/cell.

abc: 7.6815 7.6815 7.6815
angles: 90.00 90.00 90.00
With the nearest neighbours (Å) after each atom.
Space group Fm-3m (No. 225)
Symmetry-distinct sites (fractional):
Pr 0.0000 0.0000 0.0000 [4 per cell]  8 Mg 3.33
Ho 0.0000 0.0000 0.5000 [4 per cell]  8 Mg 3.33
Mg 0.2500 0.2500 0.2500 [8 per cell]  4 Pr 3.33, 4 Ho 3.33

The following is a PBE calculation of an optimized crystal structure of Ac3La12Hg, from the Alexandria database.

Calculated values
For the density of states at the Fermi level, the calculation gives 25.55 states/eV per cell. Its energy of formation from the pure elements is -0.031 eV per atom. The calculated total energy comes out at -0.1660 Ha/atom. For the volume, the calculation gives 586 Å³/cell.

abc: 5.2820 5.2820 20.9993
angles: 90.00 90.00 90.00
With the nearest neighbours (Å) after each atom.
Space group P4/mmm (No. 123)
Symmetry-distinct sites (fractional):
Ac 0.0000 0.0000 0.0000 [1 per cell]  12 La 3.73-3.78
Ac 0.0000 0.0000 0.2583 [2 per cell]  12 La 3.74-3.79
La 0.0000 0.5000 0.1287 [4 per cell]  8 La 3.73-3.81, 4 Ac 3.78-3.79
La 0.0000 0.5000 0.3843 [4 per cell]  8 La 3.59-3.73, 2 Hg 3.59, 2 Ac 3.74
La 0.5000 0.5000 0.0000 [1 per cell]  4 Ac 3.73, 8 La 3.78
La 0.5000 0.5000 0.2595 [2 per cell]  8 La 3.72-3.81, 4 Ac 3.74
La 0.5000 0.5000 0.5000 [1 per cell]  8 La 3.59, 4 Hg 3.73
Hg 0.0000 0.0000 0.5000 [1 per cell]  12 La 3.59-3.73

The following is a PBE calculation of an optimized crystal structure of Na2ZnCdBi, from the Alexandria database.

Calculated values
For the density of states at the Fermi level, the calculation gives 3.30 states/eV per cell. Its energy of formation from the pure elements is 0.157 eV per atom. The calculated total energy comes out at -0.0582 Ha/atom. For the volume, the calculation gives 172 Å³/cell.

abc: 5.6707 5.6707 5.3363
angles: 90.00 90.00 90.00
With the nearest neighbours (Å) after each atom.
Space group P4/mmm (No. 123)
Symmetry-distinct sites (fractional):
Na 0.0000 0.5000 0.0000 [2 per cell]  2 Zn 2.84
Zn 0.0000 0.0000 0.0000 [1 per cell]  2 Bi 2.67, 4 Na 2.84
Cd 0.5000 0.5000 0.5000 [1 per cell]  8 Na 3.89, 4 Bi 4.01
Bi 0.0000 0.0000 0.5000 [1 per cell]  2 Zn 2.67

The following is a PBE calculation of an optimized crystal structure of CoRhSe2, from the Alexandria database.

Calculated values
For the density of states at the Fermi level, the calculation gives 6.83 states/eV per cell. The calculated total energy comes out at -0.1909 Ha/atom. For the volume, the calculation gives 150 Å³/cell. The uncorrected formation energy comes out at 161 meV per atom.

abc: 2.9733 4.2424 11.8648
angles: 90.00 90.00 90.00
With the nearest neighbours (Å) after each atom.
Space group Imm2 (No. 44)
Symmetry-distinct sites (fractional):
Co 0.0000 0.0000 0.0000 [2 per cell]  6 Se 2.46-2.66, 2 Rh 2.60
Rh 0.0000 0.5000 0.8733 [2 per cell]  6 Se 2.58-2.63, 2 Co 2.60
Se 0.0000 0.0000 0.5512 [2 per cell]  2 Rh 2.58, 4 Co 2.66
Se 0.0000 0.5000 0.3353 [2 per cell]  2 Co 2.46, 4 Rh 2.63

The following is a PBE calculation of an optimized crystal structure of InRuF3, from the Alexandria database.

Calculated values
For the density of states at the Fermi level, the calculation gives 3.58 states/eV per cell. The calculated total energy comes out at -0.1728 Ha/atom. For the volume, the calculation gives 80 Å³/cell. The uncorrected formation energy comes out at -1177 meV per atom.

abc: 4.3047 4.3047 4.3047
angles: 90.00 90.00 90.00
With the nearest neighbours (Å) after each atom.
Space group Pm-3m (No. 221)
Symmetry-distinct sites (fractional):
In 0.0000 0.0000 0.0000 [1 per cell]  12 F 3.04
Ru 0.5000 0.5000 0.5000 [1 per cell]  6 F 2.15
F 0.0000 0.5000 0.5000 [3 per cell]  2 Ru 2.15

The following is a PBE calculation of an optimized crystal structure of TlV2PPb, from the Alexandria database.

Calculated values
For the density of states at the Fermi level, the calculation gives 9.29 states/eV per cell. Its energy of formation from the pure elements is 1.481 eV per atom. The calculated total energy comes out at -0.1640 Ha/atom. For the volume, the calculation gives 137 Å³/cell.

abc: 5.2301 5.2301 5.0096
angles: 90.00 90.00 90.00
With the nearest neighbours (Å) after each atom.
Space group P4/mmm (No. 123)
Symmetry-distinct sites (fractional):
Tl 0.0000 0.0000 0.0000 [1 per cell]  2 P 2.50, 4 V 2.62
V 0.0000 0.5000 0.0000 [2 per cell]  2 Tl 2.62
P 0.0000 0.0000 0.5000 [1 per cell]  2 Tl 2.50
Pb 0.5000 0.5000 0.5000 [1 per cell]  8 V 3.62, 4 P 3.70

Question: Which of these has the highest calculated total energy?
Answer: Na2ZnCdBi